# 1
Here is an optimized crystal structure of Ca6MgGa from the Alexandria database. Energies are from PBE-GGA.

Results
The crystal system is tetragonal.

```
data_Ca6MgGa
_symmetry_space_group_name_H-M 'I 4/m m m'
_symmetry_Int_Tables_number 139
_symmetry_space_group_name_Hall '-I 4 2'
_cell_length_a 5.4264
_cell_length_b 5.4264
_cell_length_c 18.8262
_cell_angle_alpha 90.00
_cell_angle_beta 90.00
_cell_angle_gamma 90.00
loop_
_atom_site_label
_atom_site_type_symbol
_atom_site_fract_x
_atom_site_fract_y
_atom_site_fract_z
Ca1 Ca 0.0000 0.0000 0.2486
Ca2 Ca 0.0000 0.5000 0.0987
Mg1 Mg 0.0000 0.0000 0.0000
Ga1 Ga 0.0000 0.0000 0.5000
```

=====

# 2
Here is an optimized crystal structure of Ca3MgGa from the Alexandria database. Energies are from PBE-GGA.

Results
The crystal system is cubic.

```
data_Ca3MgGa
_symmetry_space_group_name_H-M 'P m -3 m'
_symmetry_Int_Tables_number 221
_symmetry_space_group_name_Hall '-P 4 2 3'
_cell_length_a 5.7761
_cell_length_b 5.7761
_cell_length_c 5.7761
_cell_angle_alpha 90.00
_cell_angle_beta 90.00
_cell_angle_gamma 90.00
loop_
_atom_site_label
_atom_site_type_symbol
_atom_site_fract_x
_atom_site_fract_y
_atom_site_fract_z
Ca1 Ca 0.0000 0.0000 0.5000
Mg1 Mg 0.5000 0.5000 0.5000
Ga1 Ga 0.0000 0.0000 0.0000
```

=====

# 3
Here is an optimized crystal structure of Ca5MgGa2 from the Alexandria database. Energies are from PBE-GGA.

Results
The crystal system is tetragonal.

```
data_Ca5MgGa2
_symmetry_space_group_name_H-M 'I 4/m c m'
_symmetry_Int_Tables_number 140
_symmetry_space_group_name_Hall '-I 4 2c'
_cell_length_a 8.2611
_cell_length_b 8.2611
_cell_length_c 14.7878
_cell_angle_alpha 90.00
_cell_angle_beta 90.00
_cell_angle_gamma 90.00
loop_
_atom_site_label
_atom_site_type_symbol
_atom_site_fract_x
_atom_site_fract_y
_atom_site_fract_z
Ca1 Ca 0.0000 0.0000 0.0000
Ca2 Ca 0.1684 0.3316 0.1371
Mg1 Mg 0.0000 0.0000 0.2500
Ga1 Ga 0.1194 0.3806 0.5000
```

=====

# 4
Here is an optimized crystal structure of CaMg2Ga10 from the Alexandria database. Energies are from PBE-GGA.

Results
The crystal system is orthorhombic.

```
data_CaMg2Ga10
_symmetry_space_group_name_H-M 'F m m m'
_symmetry_Int_Tables_number 69
_symmetry_space_group_name_Hall '-F 2 2'
_cell_length_a 5.9050
_cell_length_b 13.1512
_cell_length_c 13.4772
_cell_angle_alpha 90.00
_cell_angle_beta 90.00
_cell_angle_gamma 90.00
loop_
_atom_site_label
_atom_site_type_symbol
_atom_site_fract_x
_atom_site_fract_y
_atom_site_fract_z
Ca1 Ca 0.0000 0.0000 0.0000
Mg1 Mg 0.2500 0.0000 0.2500
Ga1 Ga 0.0000 0.1099 0.3948
Ga2 Ga 0.0000 0.1797 0.1768
Ga3 Ga 0.2500 0.2500 0.0000
```

=====

# 5
Here is an optimized crystal structure of CaMg2Ga2 from the Alexandria database. Energies are from PBE-GGA.

Results
The crystal system is monoclinic.

```
data_CaMg2Ga2
_symmetry_space_group_name_H-M 'C 1 2/m 1'
_symmetry_Int_Tables_number 12
_cell_length_a 11.2009
_cell_length_b 4.1795
_cell_length_c 5.2479
_cell_angle_alpha 90.00
_cell_angle_beta 104.21
_cell_angle_gamma 90.00
loop_
_symmetry_equiv_pos_as_xyz
'x,y,z'
'-x,-y,-z'
'-x,y,-z'
'x,-y,z'
'x+1/2,y+1/2,z'
'-x+1/2,-y+1/2,-z'
'-x+1/2,y+1/2,-z'
'x+1/2,-y+1/2,z'
loop_
_atom_site_label
_atom_site_type_symbol
_atom_site_fract_x
_atom_site_fract_y
_atom_site_fract_z
Ca1 Ca 0.0000 0.0000 0.0000
Mg1 Mg 0.1414 0.5000 0.5674
Ga1 Ga 0.2237 0.5000 0.1174
```

=====

# 6
Here is an optimized crystal structure of Ca3Mg3Ga8 from the Alexandria database. Energies are from PBE-GGA.

Results
The crystal system is orthorhombic.

```
data_Ca3Mg3Ga8
_symmetry_space_group_name_H-M 'I m m m'
_symmetry_Int_Tables_number 71
_symmetry_space_group_name_Hall '-I 2 2'
_cell_length_a 4.4138
_cell_length_b 9.9237
_cell_length_c 13.4995
_cell_angle_alpha 90.00
_cell_angle_beta 90.00
_cell_angle_gamma 90.00
loop_
_atom_site_label
_atom_site_type_symbol
_atom_site_fract_x
_atom_site_fract_y
_atom_site_fract_z
Ca1 Ca 0.0000 0.0000 0.0000
Ca2 Ca 0.0000 0.0000 0.2976
Mg1 Mg 0.0000 0.2046 0.5000
Mg2 Mg 0.0000 0.5000 0.0000
Ga1 Ga 0.0000 0.2768 0.1470
Ga2 Ga 0.0000 0.3704 0.3367
```

=====

# 7
Here is an optimized crystal structure of Ca6MgGa5 from the Alexandria database. Energies are from PBE-GGA.

Results
The crystal system is monoclinic.

```
data_Ca6MgGa5
_symmetry_space_group_name_H-M 'P 1 2/m 1'
_symmetry_Int_Tables_number 10
_cell_length_a 5.2257
_cell_length_b 7.4424
_cell_length_c 8.2733
_cell_angle_alpha 90.00
_cell_angle_beta 107.68
_cell_angle_gamma 90.00
loop_
_symmetry_equiv_pos_as_xyz
'x,y,z'
'-x,-y,-z'
'-x,y,-z'
'x,-y,z'
loop_
_atom_site_label
_atom_site_type_symbol
_atom_site_fract_x
_atom_site_fract_y
_atom_site_fract_z
Ca1 Ca 0.0000 0.2366 0.0000
Ca2 Ca 0.3278 0.2466 0.6563
Mg1 Mg 0.5000 0.5000 0.0000
Ga1 Ga 0.1571 0.5000 0.3130
Ga2 Ga 0.1655 0.0000 0.3310
Ga3 Ga 0.5000 0.0000 0.0000
```

=====

# 8
Here is an optimized crystal structure of Ca6Mg3Ga from the Alexandria database. Energies are from PBE-GGA.

Results
The crystal system is monoclinic.

```
data_Ca6Mg3Ga
_symmetry_space_group_name_H-M 'P 1 21/m 1'
_symmetry_Int_Tables_number 11
_cell_length_a 9.5913
_cell_length_b 5.6597
_cell_length_c 12.3908
_cell_angle_alpha 90.00
_cell_angle_beta 109.54
_cell_angle_gamma 90.00
loop_
_symmetry_equiv_pos_as_xyz
'x,y,z'
'-x,-y,-z'
'-x,y+1/2,-z'
'x,-y+1/2,z'
loop_
_atom_site_label
_atom_site_type_symbol
_atom_site_fract_x
_atom_site_fract_y
_atom_site_fract_z
Ca1 Ca 0.0191 0.2500 0.4141
Ca2 Ca 0.1627 0.7500 0.1598
Ca3 Ca 0.2734 0.2500 0.0007
Ca4 Ca 0.3567 0.7500 0.8267
Ca5 Ca 0.3577 0.2500 0.3289
Ca6 Ca 0.3988 0.2500 0.6385
Mg1 Mg 0.0359 0.7500 0.8720
Mg2 Mg 0.0977 0.2500 0.7209
Mg3 Mg 0.2650 0.7500 0.4683
Ga1 Ga 0.4470 0.7500 0.1032
```

=====

# 9
Here is an optimized crystal structure of Ca3MgGa from the Alexandria database. Energies are from PBE-GGA.

Results
The crystal system is cubic.

```
data_Ca3MgGa
_symmetry_space_group_name_H-M 'P m -3 m'
_symmetry_Int_Tables_number 221
_symmetry_space_group_name_Hall '-P 4 2 3'
_cell_length_a 7.6836
_cell_length_b 7.6836
_cell_length_c 7.6836
_cell_angle_alpha 90.00
_cell_angle_beta 90.00
_cell_angle_gamma 90.00
loop_
_atom_site_label
_atom_site_type_symbol
_atom_site_fract_x
_atom_site_fract_y
_atom_site_fract_z
Ca1 Ca 0.0000 0.0000 0.0000
Ca2 Ca 0.2694 0.2694 0.2694
Mg1 Mg 0.0000 0.0000 0.5000
Ga1 Ga 0.0000 0.5000 0.5000
```

=====

# 10
Here is an optimized crystal structure of Ca2Mg3Ga from the Alexandria database. Energies are from PBE-GGA.

Results
The crystal system is monoclinic.

```
data_Ca2Mg3Ga
_symmetry_space_group_name_H-M 'C 1 2/m 1'
_symmetry_Int_Tables_number 12
_cell_length_a 10.4826
_cell_length_b 6.0016
_cell_length_c 6.0521
_cell_angle_alpha 90.00
_cell_angle_beta 125.00
_cell_angle_gamma 90.00
loop_
_symmetry_equiv_pos_as_xyz
'x,y,z'
'-x,-y,-z'
'-x,y,-z'
'x,-y,z'
'x+1/2,y+1/2,z'
'-x+1/2,-y+1/2,-z'
'-x+1/2,y+1/2,-z'
'x+1/2,-y+1/2,z'
loop_
_atom_site_label
_atom_site_type_symbol
_atom_site_fract_x
_atom_site_fract_y
_atom_site_fract_z
Ca1 Ca 0.1269 0.0000 0.3820
Mg1 Mg 0.0000 0.5000 0.0000
Mg2 Mg 0.2500 0.2500 0.0000
Ga1 Ga 0.0000 0.5000 0.5000
```

=====

no.,D(E_F) (states/eV per cell),DFT formation energy (eV per formula unit)
1,13.35,-1.03
2,6.36,0.06
3,30.57,-2.15
4,19.13,-1.49
5,3.08,-1.34
6,8.34,-5.35
7,7.48,-4.59
8,16.23,-1.27
9,8.83,-0.98
10,9.22,-1.24